Record 1
First-principles (GGA-PBE) data for crystalline Cu4As at its relaxed geometry, as listed in Alexandria via LeMat-Bulk.

Cell lengths 6.407, 6.407, 6.407 Å; angles 90.00, 90.00, 90.00 degrees
Fractional coordinates of all 20 atoms:
Cu 0.043 0.112 0.794
Cu 0.112 0.794 0.043
Cu 0.194 0.194 0.194
Cu 0.206 0.543 0.388
Cu 0.294 0.457 0.888
Cu 0.306 0.806 0.694
Cu 0.388 0.206 0.543
Cu 0.457 0.888 0.294
Cu 0.543 0.388 0.206
Cu 0.612 0.706 0.957
Cu 0.694 0.306 0.806
Cu 0.706 0.957 0.612
Cu 0.794 0.043 0.112
Cu 0.806 0.694 0.306
Cu 0.888 0.294 0.457
Cu 0.957 0.612 0.706
As 0.067 0.933 0.433
As 0.433 0.067 0.933
As 0.567 0.567 0.567
As 0.933 0.433 0.067

## Properties
Energy of formation   0.47 eV per formula unit
E above lowest polymorph   0.054 eV per atom
E   -4.1122 eV/atom
Space-group type   P2_13

Record 2
First-principles (GGA-PBE) data for crystalline DyCuAs at its relaxed geometry, as listed in Alexandria via LeMat-Bulk.

Cell lengths 4.088, 4.088, 3.962 Å; angles 90.00, 90.00, 120.00 degrees
Fractional coordinates of all 3 atoms:
Dy 0.000 0.000 0.000
Cu 0.667 0.333 0.500
As 0.333 0.667 0.500

## Properties
Energy of formation   -2.66 eV per formula unit
E   -5.3359 eV/atom
Space-group type   P-6m2

Record 3
First-principles (GGA-PBE) data for crystalline DyCu3As3 at its relaxed geometry, as listed in Alexandria via LeMat-Bulk.

Cell lengths 6.584, 6.584, 6.584 Å; angles 90.00, 90.00, 90.00 degrees
Fractional coordinates of all 14 atoms:
Dy 0.000 0.000 0.000
Dy 0.500 0.500 0.500
Cu 0.000 0.250 0.500
Cu 0.000 0.750 0.500
Cu 0.250 0.500 0.000
Cu 0.500 0.000 0.250
Cu 0.500 0.000 0.750
Cu 0.750 0.500 0.000
As 0.000 0.500 0.250
As 0.000 0.500 0.750
As 0.250 0.000 0.500
As 0.500 0.250 0.000
As 0.500 0.750 0.000
As 0.750 0.000 0.500

## Properties
Energy of formation   -0.23 eV per formula unit
E   -4.4383 eV/atom
Space-group type   Pm-3n

Record 4
First-principles (GGA-PBE) data for crystalline DyCu4As2 at its relaxed geometry, as listed in Alexandria via LeMat-Bulk.

Cell lengths 7.441, 7.441, 3.942 Å; angles 90.00, 90.00, 90.00 degrees
Fractional coordinates of all 14 atoms:
Dy 0.000 0.000 0.000
Dy 0.500 0.500 0.500
Cu 0.087 0.344 0.500
Cu 0.156 0.587 0.000
Cu 0.344 0.087 0.500
Cu 0.413 0.844 0.000
Cu 0.587 0.156 0.000
Cu 0.656 0.913 0.500
Cu 0.844 0.413 0.000
Cu 0.913 0.656 0.500
As 0.212 0.788 0.500
As 0.288 0.288 0.000
As 0.712 0.712 0.000
As 0.788 0.212 0.500

## Properties
Energy of formation   -3.02 eV per formula unit
E   -4.7575 eV/atom
Space-group type   P4_2/mnm

Record 5
First-principles (GGA-PBE) data for crystalline DyCuAs2 at its relaxed geometry, as listed in Alexandria via LeMat-Bulk.

Cell lengths 3.918, 3.918, 9.835 Å; angles 90.00, 90.00, 90.00 degrees
Fractional coordinates of all 8 atoms:
Dy 0.250 0.250 0.237
Dy 0.750 0.750 0.763
Cu 0.250 0.750 0.500
Cu 0.750 0.250 0.500
As 0.250 0.250 0.660
As 0.250 0.750 0.000
As 0.750 0.250 0.000
As 0.750 0.750 0.340

## Properties
Energy of formation   -3.29 eV per formula unit
E   -5.3223 eV/atom
Space-group type   P4/nmm

Record 6
First-principles (GGA-PBE) data for crystalline Li2DyCu2As2 at its relaxed geometry, as listed in Alexandria via LeMat-Bulk.

Cell lengths 8.017, 8.017, 8.017 Å; angles 29.71, 29.71, 29.71 degrees
Fractional coordinates of all 7 atoms:
Li 0.144 0.144 0.144
Li 0.856 0.856 0.856
Dy 0.000 0.000 0.000
Cu 0.434 0.434 0.434
Cu 0.566 0.566 0.566
As 0.256 0.256 0.256
As 0.744 0.744 0.744

## Properties
Energy of formation   -4.82 eV per formula unit
E   -4.3911 eV/atom
Space-group type   R-3m

Record 7
First-principles (GGA-PBE) data for crystalline Dy2CuNi3As4 at its relaxed geometry, as listed in Alexandria via LeMat-Bulk.

Cell lengths 4.146, 4.146, 9.585 Å; angles 90.00, 90.00, 90.00 degrees
Fractional coordinates of all 10 atoms:
Dy 0.000 0.500 0.250
Dy 0.500 0.000 0.750
Cu 0.000 0.000 0.500
Ni 0.000 0.500 0.879
Ni 0.500 0.000 0.121
Ni 0.500 0.500 0.500
As 0.000 0.000 0.000
As 0.000 0.500 0.636
As 0.500 0.000 0.364
As 0.500 0.500 0.000

## Properties
Energy of formation   -7.35 eV per formula unit
E   -5.6592 eV/atom
Space-group type   P-4m2

Record 8
First-principles (GGA-PBE) data for crystalline DyCu2AsP at its relaxed geometry, as listed in Alexandria via LeMat-Bulk.

Cell lengths 7.093, 7.093, 7.093 Å; angles 131.29, 131.29, 71.35 degrees
Fractional coordinates of all 10 atoms:
Dy 0.000 0.000 0.000
Dy 0.500 0.500 0.000
Cu 0.008 0.508 0.123
Cu 0.385 0.885 0.877
Cu 0.508 0.385 0.500
Cu 0.885 0.008 0.500
As 0.025 0.525 0.500
As 0.525 0.025 0.500
P 0.262 0.262 0.000
P 0.762 0.762 0.000

## Properties
Energy of formation   -2.47 eV per formula unit
E   -5.0654 eV/atom
Space-group type   I4cm

Record 9
First-principles (GGA-PBE) data for crystalline PmDyCuAs at its relaxed geometry, as listed in Alexandria via LeMat-Bulk.

Cell lengths 7.103, 7.103, 7.103 Å; angles 90.00, 90.00, 90.00 degrees
Fractional coordinates of all 16 atoms:
Pm 0.000 0.000 0.000
Pm 0.000 0.500 0.500
Pm 0.500 0.000 0.500
Pm 0.500 0.500 0.000
Dy 0.000 0.000 0.500
Dy 0.000 0.500 0.000
Dy 0.500 0.000 0.000
Dy 0.500 0.500 0.500
Cu 0.250 0.250 0.750
Cu 0.250 0.750 0.250
Cu 0.750 0.250 0.250
Cu 0.750 0.750 0.750
As 0.250 0.250 0.250
As 0.250 0.750 0.750
As 0.750 0.250 0.750
As 0.750 0.750 0.250

## Properties
Energy of formation   -2.35 eV per formula unit
E   -5.1126 eV/atom
Space-group type   F-43m

Record 10
First-principles (GGA-PBE) data for crystalline DyZnCuAs2 at its relaxed geometry, as listed in Alexandria via LeMat-Bulk.

Cell lengths 4.126, 4.126, 6.734 Å; angles 90.00, 90.00, 120.00 degrees
Fractional coordinates of all 5 atoms:
Dy 0.000 0.000 0.000
Zn 0.333 0.667 0.608
Cu 0.667 0.333 0.339
As 0.333 0.667 0.236
As 0.667 0.333 0.733

## Properties
Energy of formation   -3.34 eV per formula unit
E   -4.5224 eV/atom
Space-group type   P3m1

Record 11
First-principles (GGA-PBE) data for crystalline Er2CuAs at its relaxed geometry, as listed in Alexandria via LeMat-Bulk.

Cell lengths 3.825, 3.825, 26.780 Å; angles 90.00, 90.00, 120.00 degrees
Fractional coordinates of all 12 atoms:
Er 0.000 0.000 0.103
Er 0.000 0.000 0.897
Er 0.333 0.667 0.563
Er 0.333 0.667 0.770
Er 0.667 0.333 0.230
Er 0.667 0.333 0.437
Cu 0.000 0.000 0.000
Cu 0.333 0.667 0.667
Cu 0.667 0.333 0.333
As 0.000 0.000 0.500
As 0.333 0.667 0.167
As 0.667 0.333 0.833

## Properties
Energy of formation   -0.56 eV per formula unit
E   -4.6067 eV/atom
Space-group type   R-3m

Record 12
First-principles (GGA-PBE) data for crystalline ErCuAs2 at its relaxed geometry, as listed in Alexandria via LeMat-Bulk.

Cell lengths 3.900, 3.900, 9.772 Å; angles 90.00, 90.00, 90.00 degrees
Fractional coordinates of all 8 atoms:
Er 0.250 0.250 0.236
Er 0.750 0.750 0.764
Cu 0.250 0.750 0.500
Cu 0.750 0.250 0.500
As 0.250 0.250 0.663
As 0.250 0.750 0.000
As 0.750 0.250 0.000
As 0.750 0.750 0.337

## Properties
Energy of formation   -3.22 eV per formula unit
E   -5.2942 eV/atom
Space-group type   P4/nmm